(1)
The following is a DFT calculation (PBE-GGA) of a relaxed VHgH crystal.

Cell lengths 3.787, 3.039, 8.166 Å; angles 90.00, 103.32, 90.00 degrees
Positions (direct):
V 0.229 0.250 0.457
V 0.771 0.750 0.543
Hg 0.082 0.750 0.162
Hg 0.918 0.250 0.838
H 0.294 0.750 0.590
H 0.706 0.250 0.410

## Properties
Symmetry = P2_1/m, No. 11
Excess energy over the best structure of this formula in the dataset = 7.1 kJ/mol of atoms
ρ = 9.172 Mg/m³



(2)
The following is a DFT calculation (PBE-GGA) of a relaxed Pm4GeIrI2 crystal.

Cell lengths 7.629, 4.216, 8.172 Å; angles 90.00, 106.78, 90.00 degrees
Positions (direct):
Pm 0.217 0.000 0.186
Pm 0.254 0.500 0.811
Pm 0.746 0.500 0.189
Pm 0.783 0.000 0.814
Ge 0.500 0.000 0.000
Ir 0.000 0.500 0.000
I 0.000 0.000 0.500
I 0.500 0.500 0.500

## Properties
Symmetry = P2/m, No. 10
Uncorrected formation energy = -952 meV/atom
ρ = 7.250 Mg/m³



(3)
The following is a DFT calculation (PBE-GGA) of a relaxed HfNi2Ru crystal.

Cell lengths 9.349, 9.349, 9.349 Å; angles 157.27, 157.27, 32.36 degrees
Positions (direct):
Hf 0.000 0.000 0.000
Hf 0.750 0.250 0.500
Ni 0.146 0.625 0.021
Ni 0.375 0.396 0.521
Ni 0.604 0.125 0.979
Ni 0.875 0.854 0.479
Ru 0.250 0.750 0.500
Ru 0.500 0.500 0.000

## Properties
Symmetry = I-42d, No. 122
ρ = 10.815 Mg/m³
Formation energy = 104 meV per atom



(4)
The following is a DFT calculation (PBE-GGA) of a relaxed YZn2Te2 crystal.

Cell lengths 9.211, 9.211, 9.211 Å; angles 155.82, 155.82, 34.46 degrees
Positions (direct):
Y 0.000 0.000 0.000
Zn 0.250 0.750 0.500
Zn 0.750 0.250 0.500
Te 0.404 0.404 0.000
Te 0.596 0.596 0.000

## Properties
Symmetry = I4/mmm, No. 139
Uncorrected formation energy = -462 meV/atom
Excess energy over the best structure of this formula in the dataset = 0.0 kJ/mol of atoms
ρ = 6.022 Mg/m³